PBE PuAgPt, optimized geometry; magnetic moment = 10.5 Bohr magnetons per cell; calculated formation energy = -469 meV per atom
1.0
2.2998 -4.8866 0.0000
2.2998 4.8866 0.0000
0.0000 0.0000 5.6396
Pu Ag Pt
2 2 2
Cartesian
2.2998 3.0252 4.2297 Pu
2.2998 -3.0252 1.4099 Pu
2.2998 0.0000 0.0000 Ag
2.2998 0.0000 2.8198 Ag
2.2998 3.7171 1.4099 Pt
2.2998 -3.7171 4.2297 Pt

***

PBE PuAgPt, optimized geometry; magnetic moment = 11.3 Bohr magnetons per cell; calculated formation energy = -253 meV per atom
1.0
1.4410 -8.5155 0.0000
1.4410 8.5155 0.0000
0.0000 0.0000 5.1997
Pu Ag Pt
2 2 2
Cartesian
1.4410 5.8513 3.8998 Pu
1.4410 -5.8513 1.2999 Pu
1.4410 7.9760 1.2999 Ag
1.4410 -7.9760 3.8998 Ag
1.4410 3.0544 3.8998 Pt
1.4410 -3.0544 1.2999 Pt

***

PBE Pu4AgPt4, optimized geometry; magnetic moment = 43.8 Bohr magnetons per cell; calculated formation energy = -476 meV per atom
1.0
8.6153 0.0000 0.0000
0.0000 8.6153 0.0000
0.0000 0.0000 5.7459
Pu Ag Pt
8 2 8
Cartesian
0.3540 5.7392 0.6026 Pu
1.4315 8.2613 3.4755 Pu
2.8761 4.6617 3.4755 Pu
3.9537 7.1838 0.6026 Pu
4.6617 1.4315 5.1433 Pu
5.7392 3.9537 2.2704 Pu
7.1838 0.3540 2.2704 Pu
8.2613 2.8761 5.1433 Pu
2.1538 2.1538 1.4365 Ag
6.4615 6.4615 4.3094 Ag
0.2412 5.5535 3.4492 Pt
1.2458 8.3741 0.5762 Pt
3.0619 4.5489 0.5762 Pt
4.0665 7.3695 3.4492 Pt
4.5489 1.2458 2.2967 Pt
5.5535 4.0665 5.1696 Pt
7.3695 0.2412 5.1696 Pt
8.3741 3.0619 2.2967 Pt

***

PBE PuAg2Pt, optimized geometry; magnetic moment = 4.8 Bohr magnetons per cell; calculated formation energy = 220 meV per atom
1.0
1.4231 0.8216 10.9360
-1.4231 0.8216 10.9360
0.0000 -1.6432 10.9360
Pu Ag Pt
1 2 1
Cartesian
0.0000 0.0000 0.0000 Pu
0.0000 0.0000 3.0477 Ag
0.0000 0.0000 29.7602 Ag
0.0000 0.0000 16.4039 Pt